[1]
# RbTl5In2 (GGA-PBE, optimized geometry)
# distance to the lowest polymorph of the same formula = 37 meV per atom
# crystal system = tetragonal
# calculated formation energy = 1.4 kJ/mol of atoms
data_RbTl5In2
_chemical_formula_sum 'Rb4 Tl20 In8'
_cell_length_a 8.608
_cell_length_b 8.608
_cell_length_c 14.695
_cell_angle_alpha 90.00
_cell_angle_beta 90.00
_cell_angle_gamma 90.00
_space_group_name_H-M_alt 'I 4/m c m'
_space_group_IT_number 140
_space_group_name_Hall '-I 4 2c'
loop_
_atom_site_label
_atom_site_type_symbol
_atom_site_fract_x
_atom_site_fract_y
_atom_site_fract_z
Rb1 Rb 0.000 0.000 0.250
Tl1 Tl 0.000 0.000 0.000
Tl2 Tl 0.137 0.363 0.140
In1 In 0.159 0.341 0.500

[2]
# Ba4InSi3 (GGA-PBE, optimized geometry)
# formation energy without anion corrections = -0.3826 eV per atom
# crystal system = orthorhombic
data_Ba4InSi3
_chemical_formula_sum 'Ba4 In1 Si3'
_cell_length_a 4.341
_cell_length_b 5.094
_cell_length_c 12.506
_cell_angle_alpha 90.00
_cell_angle_beta 90.00
_cell_angle_gamma 90.00
_space_group_name_H-M_alt 'P m m 2'
_space_group_IT_number 25
_space_group_name_Hall 'P 2 -2'
loop_
_atom_site_label
_atom_site_type_symbol
_atom_site_fract_x
_atom_site_fract_y
_atom_site_fract_z
Ba1 Ba 0.000 0.000 0.000
Ba2 Ba 0.000 0.500 0.479
Ba3 Ba 0.500 0.000 0.705
Ba4 Ba 0.500 0.500 0.215
In1 In 0.000 0.500 0.793
Si1 Si 0.000 0.000 0.293
Si2 Si 0.500 0.000 0.404
Si3 Si 0.500 0.500 0.924

[3]
# La4AgGe (GGA-PBE, optimized geometry)
# distance to the lowest polymorph of the same formula = 0 meV per atom
# crystal system = cubic
# calculated formation energy = -31.8 kJ/mol of atoms
data_La4AgGe
_chemical_formula_sum 'La64 Ag16 Ge16'
_cell_length_a 14.438
_cell_length_b 14.438
_cell_length_c 14.438
_cell_angle_alpha 90.00
_cell_angle_beta 90.00
_cell_angle_gamma 90.00
_space_group_name_H-M_alt 'F -4 3 m'
_space_group_IT_number 216
_space_group_name_Hall 'F -4 2 3'
loop_
_atom_site_label
_atom_site_type_symbol
_atom_site_fract_x
_atom_site_fract_y
_atom_site_fract_z
La1 La 0.000 0.000 0.187
La2 La 0.057 0.250 0.250
La3 La 0.136 0.136 0.636
Ag1 Ag 0.088 0.088 0.412
Ge1 Ge 0.148 0.148 0.852

[4]
# ZnCu4Sn (GGA-PBE, optimized geometry)
# crystal system = monoclinic
# calculated formation energy = 2.9 kJ/mol of atoms
data_ZnCu4Sn
_chemical_formula_sum 'Zn4 Cu16 Sn4'
_cell_length_a 17.824
_cell_length_b 4.641
_cell_length_c 4.347
_cell_angle_alpha 90.00
_cell_angle_beta 103.97
_cell_angle_gamma 90.00
_space_group_name_H-M_alt 'C 1 2/c 1'
_space_group_IT_number 15
_space_group_name_Hall '-C 2yc'
loop_
_atom_site_label
_atom_site_type_symbol
_atom_site_fract_x
_atom_site_fract_y
_atom_site_fract_z
Zn1 Zn 0.250 0.250 0.000
Cu1 Cu 0.103 0.177 0.854
Cu2 Cu 0.169 0.312 0.420
Sn1 Sn 0.000 0.277 0.250

[5]
# RbNaTl2In (GGA-PBE, optimized geometry)
# distance to the lowest polymorph of the same formula = 128 meV per atom
# crystal system = tetragonal
# calculated formation energy = 6.3 kJ/mol of atoms
data_RbNaTl2In
_chemical_formula_sum 'Rb1 Na1 Tl2 In1'
_cell_length_a 6.034
_cell_length_b 6.034
_cell_length_c 5.950
_cell_angle_alpha 90.00
_cell_angle_beta 90.00
_cell_angle_gamma 90.00
_space_group_name_H-M_alt 'P 4/m m m'
_space_group_IT_number 123
_space_group_name_Hall '-P 4 2'
loop_
_atom_site_label
_atom_site_type_symbol
_atom_site_fract_x
_atom_site_fract_y
_atom_site_fract_z
Rb1 Rb 0.000 0.000 0.000
Na1 Na 0.500 0.500 0.000
Tl1 Tl 0.000 0.500 0.500
In1 In 0.500 0.500 0.500

[6]
# TaZn2Se (GGA-PBE, optimized geometry)
# formation energy without anion corrections = -0.0796 eV per atom
# crystal system = tetragonal
data_TaZn2Se
_chemical_formula_sum 'Ta1 Zn2 Se1'
_cell_length_a 3.344
_cell_length_b 3.344
_cell_length_c 5.915
_cell_angle_alpha 90.00
_cell_angle_beta 90.00
_cell_angle_gamma 90.00
_space_group_name_H-M_alt 'P 4 m m'
_space_group_IT_number 99
_space_group_name_Hall 'P 4 -2'
loop_
_atom_site_label
_atom_site_type_symbol
_atom_site_fract_x
_atom_site_fract_y
_atom_site_fract_z
Ta1 Ta 0.000 0.000 0.000
Zn1 Zn 0.000 0.000 0.480
Zn2 Zn 0.500 0.500 0.268
Se1 Se 0.500 0.500 0.773

[7]
# BaSi2Tc (GGA-PBE, optimized geometry)
# formation energy without anion corrections = 0.5894 eV per atom
# distance to the lowest polymorph of the same formula = 858 meV per atom
# crystal system = cubic
data_BaSi2Tc
_chemical_formula_sum 'Ba4 Si8 Tc4'
_cell_length_a 6.852
_cell_length_b 6.852
_cell_length_c 6.852
_cell_angle_alpha 90.00
_cell_angle_beta 90.00
_cell_angle_gamma 90.00
_space_group_name_H-M_alt 'F m -3 m'
_space_group_IT_number 225
_space_group_name_Hall '-F 4 2 3'
loop_
_atom_site_label
_atom_site_type_symbol
_atom_site_fract_x
_atom_site_fract_y
_atom_site_fract_z
Ba1 Ba 0.000 0.000 0.000
Si1 Si 0.250 0.250 0.250
Tc1 Tc 0.000 0.000 0.500

[8]
# DyCoSn2 (GGA-PBE, optimized geometry)
# crystal system = orthorhombic
# calculated formation energy = -43.2 kJ/mol of atoms
data_DyCoSn2
_chemical_formula_sum 'Dy4 Co4 Sn8'
_cell_length_a 4.253
_cell_length_b 10.782
_cell_length_c 7.260
_cell_angle_alpha 90.00
_cell_angle_beta 90.00
_cell_angle_gamma 90.00
_space_group_name_H-M_alt 'C m c m'
_space_group_IT_number 63
_space_group_name_Hall '-C 2c 2'
loop_
_atom_site_label
_atom_site_type_symbol
_atom_site_fract_x
_atom_site_fract_y
_atom_site_fract_z
Dy1 Dy 0.000 0.066 0.250
Co1 Co 0.000 0.204 0.750
Sn1 Sn 0.000 0.356 0.045

[9]
# AcCdPb6 (GGA-PBE, optimized geometry)
# crystal system = orthorhombic
# calculated formation energy = -12.2 kJ/mol of atoms
data_AcCdPb6
_chemical_formula_sum 'Ac2 Cd2 Pb12'
_cell_length_a 7.424
_cell_length_b 11.753
_cell_length_c 5.788
_cell_angle_alpha 90.00
_cell_angle_beta 90.00
_cell_angle_gamma 90.00
_space_group_name_H-M_alt 'C m m m'
_space_group_IT_number 65
_space_group_name_Hall '-C 2 2'
loop_
_atom_site_label
_atom_site_type_symbol
_atom_site_fract_x
_atom_site_fract_y
_atom_site_fract_z
Ac1 Ac 0.000 0.000 0.000
Cd1 Cd 0.000 0.500 0.000
Pb1 Pb 0.000 0.228 0.500
Pb2 Pb 0.219 0.500 0.500
Pb3 Pb 0.250 0.250 0.000

[10]
# Cu2Se (GGA-PBE, optimized geometry)
# formation energy without anion corrections = -0.0825 eV per atom
# crystal system = monoclinic
data_Cu2Se
_chemical_formula_sum 'Cu8 Se4'
_cell_length_a 7.643
_cell_length_b 3.854
_cell_length_c 7.366
_cell_angle_alpha 90.00
_cell_angle_beta 98.48
_cell_angle_gamma 90.00
_space_group_name_H-M_alt 'C 1 2/m 1'
_space_group_IT_number 12
_space_group_name_Hall '-C 2y'
loop_
_atom_site_label
_atom_site_type_symbol
_atom_site_fract_x
_atom_site_fract_y
_atom_site_fract_z
Cu1 Cu 0.012 0.000 0.315
Cu2 Cu 0.163 0.500 0.560
Se1 Se 0.192 0.500 0.224

[11]
# FeSnOs (GGA-PBE, optimized geometry)
# crystal system = cubic
# calculated formation energy = 39.7 kJ/mol of atoms
data_FeSnOs
_chemical_formula_sum 'Fe4 Sn4 Os4'
_cell_length_a 5.848
_cell_length_b 5.848
_cell_length_c 5.848
_cell_angle_alpha 90.00
_cell_angle_beta 90.00
_cell_angle_gamma 90.00
_space_group_name_H-M_alt 'F -4 3 m'
_space_group_IT_number 216
_space_group_name_Hall 'F -4 2 3'
loop_
_atom_site_label
_atom_site_type_symbol
_atom_site_fract_x
_atom_site_fract_y
_atom_site_fract_z
Fe1 Fe 0.000 0.000 0.000
Sn1 Sn 0.250 0.250 0.750
Os1 Os 0.250 0.250 0.250

[12]
# Pm2YErTm5 (GGA-PBE, optimized geometry)
# crystal system = tetragonal
# calculated formation energy = 26.5 kJ/mol of atoms
data_Pm2YErTm5
_chemical_formula_sum 'Pm8 Y4 Er4 Tm20'
_cell_length_a 8.585
_cell_length_b 8.585
_cell_length_c 15.400
_cell_angle_alpha 90.00
_cell_angle_beta 90.00
_cell_angle_gamma 90.00
_space_group_name_H-M_alt 'I 4/m c m'
_space_group_IT_number 140
_space_group_name_Hall '-I 4 2c'
loop_
_atom_site_label
_atom_site_type_symbol
_atom_site_fract_x
_atom_site_fract_y
_atom_site_fract_z
Pm1 Pm 0.117 0.383 0.000
Y1 Y 0.000 0.000 0.250
Er1 Er 0.000 0.500 0.250
Tm1 Tm 0.000 0.000 0.000
Tm2 Tm 0.212 0.288 0.361

[13]
# Pr3Ge6IrPd2 (GGA-PBE, optimized geometry)
# crystal system = trigonal
# calculated formation energy = -42.2 kJ/mol of atoms
data_Pr3Ge6IrPd2
_chemical_formula_sum 'Pr3 Ge6 Ir1 Pd2'
_cell_length_a 6.0439
_cell_length_b 6.0439
_cell_length_c 8.1109
_cell_angle_alpha 90.00
_cell_angle_beta 90.00
_cell_angle_gamma 120.00
_space_group_name_H-M_alt 'P -3 m 1'
_space_group_IT_number 164
_space_group_name_Hall '-P 3 2"'
loop_
_atom_site_label
_atom_site_type_symbol
_atom_site_fract_x
_atom_site_fract_y
_atom_site_fract_z
Pr1 Pr 0.0000 0.0000 0.0000
Pr2 Pr 0.3333 0.6667 0.6312
Ge1 Ge 0.1875 0.3749 0.2917
Ir1 Ir 0.0000 0.0000 0.5000
Pd1 Pd 0.3333 0.6667 0.0276

[14]
# KSrPb3 (GGA-PBE, optimized geometry)
# distance to the lowest polymorph of the same formula = 0 meV per atom
# crystal system = cubic
# calculated formation energy = 33.5 kJ/mol of atoms
data_KSrPb3
_chemical_formula_sum 'K1 Sr1 Pb3'
_cell_length_a 6.235
_cell_length_b 6.235
_cell_length_c 6.235
_cell_angle_alpha 90.00
_cell_angle_beta 90.00
_cell_angle_gamma 90.00
_space_group_name_H-M_alt 'P m -3 m'
_space_group_IT_number 221
_space_group_name_Hall '-P 4 2 3'
loop_
_atom_site_label
_atom_site_type_symbol
_atom_site_fract_x
_atom_site_fract_y
_atom_site_fract_z
K1 K 0.000 0.000 0.000
Sr1 Sr 0.500 0.500 0.500
Pb1 Pb 0.000 0.500 0.500

[15]
# LiCaSe2 (GGA-PBE, optimized geometry)
# formation energy without anion corrections = -1.1242 eV per atom
# crystal system = orthorhombic
data_LiCaSe2
_chemical_formula_sum 'Li2 Ca2 Se4'
_cell_length_a 4.032
_cell_length_b 4.033
_cell_length_c 11.030
_cell_angle_alpha 90.00
_cell_angle_beta 90.00
_cell_angle_gamma 90.00
_space_group_name_H-M_alt 'I m m 2'
_space_group_IT_number 44
_space_group_name_Hall 'I 2 -2'
loop_
_atom_site_label
_atom_site_type_symbol
_atom_site_fract_x
_atom_site_fract_y
_atom_site_fract_z
Li1 Li 0.000 0.000 0.000
Ca1 Ca 0.000 0.500 0.250
Se1 Se 0.000 0.000 0.501
Se2 Se 0.000 0.500 0.751

[16]
# Ag2BiHF6 (GGA-PBE, optimized geometry)
# raw total energy = -0.148 hartree per atom
# crystal system = monoclinic
data_Ag2BiHF6
_chemical_formula_sum 'Ag4 Bi2 H2 F12'
_cell_length_a 6.063
_cell_length_b 3.947
_cell_length_c 12.209
_cell_angle_alpha 90.00
_cell_angle_beta 109.90
_cell_angle_gamma 90.00
_space_group_name_H-M_alt 'P 1 21/c 1'
_space_group_IT_number 14
_space_group_name_Hall '-P 2ybc'
loop_
_atom_site_label
_atom_site_type_symbol
_atom_site_fract_x
_atom_site_fract_y
_atom_site_fract_z
Ag1 Ag 0.202 0.063 0.199
Bi1 Bi 0.500 0.000 0.000
H1 H 0.000 0.000 0.500
F1 F 0.069 0.220 0.458
F2 F 0.231 0.560 0.315
F3 F 0.445 0.535 0.102

[17]
# CaSmHg (GGA-PBE, optimized geometry)
# distance to the lowest polymorph of the same formula = 117 meV per atom
# crystal system = cubic
# calculated formation energy = -18.4 kJ/mol of atoms
data_CaSmHg
_chemical_formula_sum 'Ca4 Sm4 Hg4'
_cell_length_a 7.370
_cell_length_b 7.370
_cell_length_c 7.370
_cell_angle_alpha 90.00
_cell_angle_beta 90.00
_cell_angle_gamma 90.00
_space_group_name_H-M_alt 'F -4 3 m'
_space_group_IT_number 216
_space_group_name_Hall 'F -4 2 3'
loop_
_atom_site_label
_atom_site_type_symbol
_atom_site_fract_x
_atom_site_fract_y
_atom_site_fract_z
Ca1 Ca 0.000 0.000 0.000
Sm1 Sm 0.000 0.000 0.500
Hg1 Hg 0.250 0.250 0.750

[18]
# PmMgAlGe2 (GGA-PBE, optimized geometry)
# crystal system = monoclinic
# calculated formation energy = -38.6 kJ/mol of atoms
data_PmMgAlGe2
_chemical_formula_sum 'Pm4 Mg4 Al4 Ge8'
_cell_length_a 14.064
_cell_length_b 4.263
_cell_length_c 10.079
_cell_angle_alpha 90.00
_cell_angle_beta 127.79
_cell_angle_gamma 90.00
_space_group_name_H-M_alt 'C 1 2/m 1'
_space_group_IT_number 12
_space_group_name_Hall '-C 2y'
loop_
_atom_site_label
_atom_site_type_symbol
_atom_site_fract_x
_atom_site_fract_y
_atom_site_fract_z
Pm1 Pm 0.214 0.000 0.147
Mg1 Mg 0.140 0.500 0.404
Al1 Al 0.052 0.000 0.715
Ge1 Ge 0.086 0.500 0.886
Ge2 Ge 0.160 0.000 0.583

[19]
# SrMoPd (GGA-PBE, optimized geometry)
# distance to the lowest polymorph of the same formula = 102 meV per atom
# crystal system = triclinic
# calculated formation energy = 16.0 kJ/mol of atoms
data_SrMoPd
_chemical_formula_sum 'Sr2 Mo2 Pd2'
_cell_length_a 3.622
_cell_length_b 4.916
_cell_length_c 8.611
_cell_angle_alpha 103.95
_cell_angle_beta 102.01
_cell_angle_gamma 90.01
_space_group_name_H-M_alt 'P 1'
_space_group_IT_number 1
_space_group_name_Hall 'P 1'
loop_
_atom_site_label
_atom_site_type_symbol
_atom_site_fract_x
_atom_site_fract_y
_atom_site_fract_z
Sr1 Sr 0.000 0.000 0.000
Sr2 Sr 0.329 0.358 0.664
Mo1 Mo 0.173 0.718 0.349
Mo2 Mo 0.581 0.560 0.163
Pd1 Pd 0.663 0.162 0.330
Pd2 Pd 0.796 0.833 0.598

[20]
# CsSrCoH6 (GGA-PBE, optimized geometry)
# raw total energy = -0.131 hartree per atom
# crystal system = trigonal
data_CsSrCoH6
_chemical_formula_sum 'Cs1 Sr1 Co1 H6'
_cell_length_a 5.3458
_cell_length_b 5.3458
_cell_length_c 6.1055
_cell_angle_alpha 90.00
_cell_angle_beta 90.00
_cell_angle_gamma 120.00
_space_group_name_H-M_alt 'P 3 1 2'
_space_group_IT_number 149
_space_group_name_Hall 'P 3 2'
loop_
_atom_site_label
_atom_site_type_symbol
_atom_site_fract_x
_atom_site_fract_y
_atom_site_fract_z
Cs1 Cs 0.0000 0.0000 0.0000
Sr1 Sr 0.3333 0.6667 0.5000
Co1 Co 0.6667 0.3333 0.5000
H1 H 0.4279 0.1188 0.6578